Density functional theory data (PBE-GGA) for SmTmGaAg after structural relaxation.

* density: 8.6 g cm⁻³
* volume: 23.94 Å³ per atom
* E_form: -0.442 eV/atom
* space group: F-43m
* crystal system: cubic
* total moment: 0.00 Bohr magnetons per cell
* Fermi-level density of states: 0.790 states/eV per atom

abc: 5.1356 5.1356 5.1356
angles: 60.00 60.00 60.00
Closest atoms and distances in Å follow each position.
Element x y z (fractional)
Tm 0.0000 0.0000 0.0000  4 Ga 3.14, 4 Ag 3.14
Sm 0.5000 0.5000 0.5000  4 Ag 3.14, 4 Ga 3.14
Ga 0.7500 0.7500 0.7500  4 Tm 3.14, 4 Sm 3.14
Ag 0.2500 0.2500 0.2500  4 Tm 3.14, 4 Sm 3.14

Density functional theory data (PBE-GGA) for SmY2Ga2Ag2 after structural relaxation.

* density: 6.7 g cm⁻³
* volume: 24.04 Å³ per atom
* E_form: -0.385 eV/atom
* space group: R-3m
* crystal system: trigonal
* total moment: 0.00 Bohr magnetons per cell
* Fermi-level density of states: 0.621 states/eV per atom

abc: 4.6258 4.6258 9.4641
angles: 75.85 75.85 60.00
Closest atoms and distances in Å follow each position.
Element x y z (fractional)
Ag 0.4010 0.4010 0.7969  3 Ga 2.68
Ag 0.5990 0.5990 0.2031  3 Ga 2.68
Y 0.1260 0.1260 0.6221  3 Ga 2.99, 3 Ag 3.11
Y 0.8740 0.8740 0.3779  3 Ga 2.99, 3 Ag 3.11
Ga 0.7430 0.7430 0.7711  3 Ag 2.68, 3 Y 2.99
Ga 0.2570 0.2570 0.2289  3 Ag 2.68, 3 Y 2.99
Sm 0.0000 0.0000 0.0000  6 Ag 3.25, 6 Ga 3.38, 2 Y 3.43

Density functional theory data (PBE-GGA) for Sm2YGa2Ag2 after structural relaxation.

* density: 7.3 g cm⁻³
* volume: 24.10 Å³ per atom
* E_form: -0.379 eV/atom
* space group: R-3m
* crystal system: trigonal
* total moment: 0.00 Bohr magnetons per cell
* Fermi-level density of states: 0.779 states/eV per atom

abc: 4.6215 4.6215 9.5041
angles: 75.93 75.93 60.00
Closest atoms and distances in Å follow each position.
Element x y z (fractional)
Ga 0.7383 0.7383 0.7851  3 Ag 2.68
Ga 0.2617 0.2617 0.2149  3 Ag 2.68
Ag 0.6055 0.6055 0.1836  3 Ga 2.68
Ag 0.3945 0.3945 0.8164  3 Ga 2.68
Y 0.0000 0.0000 0.0000  6 Ag 3.15, 6 Ga 3.31, 2 Sm 3.42
Sm 0.8749 0.8749 0.3754  3 Ga 3.04, 3 Ag 3.19
Sm 0.1251 0.1251 0.6246  3 Ga 3.04, 3 Ag 3.19

Density functional theory data (PBE-GGA) for Sm2Zn4Ga3Ag after structural relaxation.

* density: 7.6 g cm⁻³
* volume: 19.29 Å³ per atom
* E_form: -0.406 eV/atom
* space group: P-4m2
* crystal system: tetragonal
* total moment: 0.00 Bohr magnetons per cell
* Fermi-level density of states: 0.498 states/eV per atom

abc: 4.2462 4.2462 10.6974
angles: 90.00 90.00 90.00
Closest atoms and distances in Å follow each position.
Element x y z (fractional)
Ag 0.5000 0.5000 0.5000  4 Zn 2.59
Ga 0.0000 0.0000 0.5000  4 Zn 2.59
Ga 0.0000 0.5000 0.1350  5 Zn 2.43-2.57
Ga 0.5000 0.0000 0.8650  5 Zn 2.43-2.57
Sm 0.5000 0.0000 0.2446  6 Ga 3.22-3.46, 8 Zn 3.25-3.37, 2 Ag 3.46
Sm 0.0000 0.5000 0.7554  6 Ga 3.22-3.46, 8 Zn 3.25-3.37, 2 Ag 3.46
Zn 0.5000 0.0000 0.6380  3 Ga 2.43-2.59, 2 Ag 2.59
Zn 0.0000 0.0000 0.0000  4 Ga 2.57
Zn 0.5000 0.5000 0.0000  4 Ga 2.57
Zn 0.0000 0.5000 0.3620  3 Ga 2.43-2.59, 2 Ag 2.59

Density functional theory data (PBE-GGA) for Sm2Zn3Ga4Ag after structural relaxation.

* density: 7.6 g cm⁻³
* volume: 19.35 Å³ per atom
* E_form: -0.436 eV/atom
* space group: P-4m2
* crystal system: tetragonal
* total moment: 0.00 Bohr magnetons per cell
* Fermi-level density of states: 0.412 states/eV per atom

abc: 4.2522 4.2522 10.7004
angles: 90.00 90.00 90.00
Closest atoms and distances in Å follow each position.
Element x y z (fractional)
Ga 0.0000 0.5000 0.3611  3 Zn 2.42-2.59, 2 Ag 2.59
Ga 0.0000 0.0000 0.0000  4 Zn 2.57
Ga 0.5000 0.5000 0.0000  4 Zn 2.57
Ga 0.5000 0.0000 0.6389  3 Zn 2.42-2.59, 2 Ag 2.59
Zn 0.5000 0.0000 0.8654  5 Ga 2.42-2.57
Zn 0.0000 0.5000 0.1346  5 Ga 2.42-2.57
Zn 0.0000 0.0000 0.5000  4 Ga 2.59
Sm 0.5000 0.0000 0.2452  6 Zn 3.23-3.46, 8 Ga 3.25-3.38, 2 Ag 3.46
Sm 0.0000 0.5000 0.7548  6 Zn 3.23-3.46, 8 Ga 3.25-3.38, 2 Ag 3.46
Ag 0.5000 0.5000 0.5000  4 Ga 2.59

Density functional theory data (PBE-GGA) for SmZn2GaAg2 after structural relaxation.

* density: 7.4 g cm⁻³
* volume: 21.32 Å³ per atom
* E_form: 0.027 eV/atom
* space group: P4/mmm
* crystal system: tetragonal
* total moment: 0.00 Bohr magnetons per cell
* Fermi-level density of states: 0.732 states/eV per atom

abc: 4.6731 4.6731 5.8580
angles: 90.00 90.00 90.00
Closest atoms and distances in Å follow each position.
Element x y z (fractional)
Zn 0.0000 0.5000 0.0000  2 Ga 2.34
Zn 0.5000 0.0000 0.0000  2 Ga 2.34
Ag 0.5000 0.5000 0.2666  1 Ag 2.73, 4 Zn 2.81
Ag 0.5000 0.5000 0.7334  1 Ag 2.73, 4 Zn 2.81
Sm 0.0000 0.0000 0.5000  2 Ga 2.93
Ga 0.0000 0.0000 0.0000  4 Zn 2.34

Density functional theory data (PBE-GGA) for Ga12Ag3Sn5 after structural relaxation.

* density: 6.0 g cm⁻³
* volume: 24.41 Å³ per atom
* E_form: 0.122 eV/atom
* space group: Ia-3d
* crystal system: cubic
* total moment: 0.00 Bohr magnetons per cell
* Fermi-level density of states: 0.459 states/eV per atom

abc: 13.6388 13.6388 13.6388
angles: 109.47 109.47 109.47
Closest atoms and distances in Å follow each position.
Element x y z (fractional)
Ga 0.9284 0.5643 0.1692  1 Ag 2.60, 2 Sn 2.68-2.79, 1 Ga 2.79
Ga 0.5643 0.9284 0.6692  1 Ag 2.60, 2 Sn 2.68-2.79, 1 Ga 2.79
Ga 0.6692 0.2408 0.6050  1 Ag 2.60, 2 Sn 2.68-2.79, 1 Ga 2.79
Ga 0.0716 0.4357 0.8308  1 Ag 2.60, 2 Sn 2.68-2.79, 1 Ga 2.79
Ga 0.2408 0.6692 0.1050  1 Ag 2.60, 2 Sn 2.68-2.79, 1 Ga 2.79
Ga 0.3308 0.5716 0.4357  1 Ag 2.60, 2 Sn 2.68-2.79, 1 Ga 2.79
Ga 0.3950 0.1358 0.5643  1 Ag 2.60, 2 Sn 2.68-2.79, 1 Ga 2.79
Ga 0.4284 0.6692 0.0643  1 Ag 2.60, 2 Sn 2.68-2.79, 1 Ga 2.79
Ga 0.8642 0.2592 0.4284  1 Ag 2.60, 2 Sn 2.68-2.79, 1 Ga 2.79
Ga 0.2592 0.3950 0.8308  1 Ag 2.60, 2 Sn 2.68-2.79, 1 Ga 2.79
Ga 0.8950 0.0643 0.6358  1 Ag 2.60, 2 Sn 2.68-2.79, 1 Ga 2.79
Ga 0.7592 0.4284 0.3642  1 Ag 2.60, 2 Sn 2.68-2.79, 1 Ga 2.79
Ga 0.1050 0.9357 0.3642  1 Ag 2.60, 2 Sn 2.68-2.79, 1 Ga 2.79
Ga 0.7592 0.3308 0.8950  1 Ag 2.60, 2 Sn 2.68-2.79, 1 Ga 2.79
Ga 0.3308 0.7592 0.3950  1 Ag 2.60, 2 Sn 2.68-2.79, 1 Ga 2.79
Ga 0.1358 0.7408 0.5716  1 Ag 2.60, 2 Sn 2.68-2.79, 1 Ga 2.79
Ga 0.5643 0.6358 0.3950  1 Ag 2.60, 2 Sn 2.68-2.79, 1 Ga 2.79
Ga 0.0643 0.8950 0.1358  1 Ag 2.60, 2 Sn 2.68-2.79, 1 Ga 2.79
Ga 0.8308 0.8950 0.2592  1 Ag 2.60, 2 Sn 2.68-2.79, 1 Ga 2.79
Ga 0.5716 0.3308 0.9357  1 Ag 2.60, 2 Sn 2.68-2.79, 1 Ga 2.79
Ga 0.0716 0.6358 0.7408  1 Ag 2.60, 2 Sn 2.68-2.79, 1 Ga 2.79
Ga 0.6358 0.0716 0.2408  1 Ag 2.60, 2 Sn 2.68-2.79, 1 Ga 2.79
Ga 0.4284 0.7592 0.8642  1 Ag 2.60, 2 Sn 2.68-2.79, 1 Ga 2.79
Ga 0.2592 0.8642 0.9284  1 Ag 2.60, 2 Sn 2.68-2.79, 1 Ga 2.79
Ga 0.4357 0.3642 0.6050  1 Ag 2.60, 2 Sn 2.68-2.79, 1 Ga 2.79
Ga 0.1692 0.0643 0.9284  1 Ag 2.60, 2 Sn 2.68-2.79, 1 Ga 2.79
Ga 0.7408 0.6050 0.1692  1 Ag 2.60, 2 Sn 2.68-2.79, 1 Ga 2.79
Ga 0.1050 0.1692 0.2408  1 Ag 2.60, 2 Sn 2.68-2.79, 1 Ga 2.79
Ga 0.3950 0.2592 0.3308  1 Ag 2.60, 2 Sn 2.68-2.79, 1 Ga 2.79
Ga 0.8642 0.6050 0.9357  1 Ag 2.60, 2 Sn 2.68-2.79, 1 Ga 2.79
Ga 0.0643 0.1692 0.4284  1 Ag 2.60, 2 Sn 2.68-2.79, 1 Ga 2.79
Ga 0.9357 0.8308 0.5716  1 Ag 2.60, 2 Sn 2.68-2.79, 1 Ga 2.79
Ga 0.9357 0.1050 0.8642  1 Ag 2.60, 2 Sn 2.68-2.79, 1 Ga 2.79
Ga 0.5716 0.2408 0.1358  1 Ag 2.60, 2 Sn 2.68-2.79, 1 Ga 2.79
Ga 0.1358 0.3950 0.0643  1 Ag 2.60, 2 Sn 2.68-2.79, 1 Ga 2.79
Ga 0.8950 0.8308 0.7592  1 Ag 2.60, 2 Sn 2.68-2.79, 1 Ga 2.79
Ga 0.6692 0.4284 0.5643  1 Ag 2.60, 2 Sn 2.68-2.79, 1 Ga 2.79
Ga 0.3642 0.4357 0.1050  1 Ag 2.60, 2 Sn 2.68-2.79, 1 Ga 2.79
Ga 0.6358 0.5643 0.8950  1 Ag 2.60, 2 Sn 2.68-2.79, 1 Ga 2.79
Ga 0.9284 0.3642 0.2592  1 Ag 2.60, 2 Sn 2.68-2.79, 1 Ga 2.79
Ga 0.6050 0.8642 0.4357  1 Ag 2.60, 2 Sn 2.68-2.79, 1 Ga 2.79
Ga 0.3642 0.9284 0.7592  1 Ag 2.60, 2 Sn 2.68-2.79, 1 Ga 2.79
Ga 0.4357 0.0716 0.3308  1 Ag 2.60, 2 Sn 2.68-2.79, 1 Ga 2.79
Ga 0.7408 0.1358 0.0716  1 Ag 2.60, 2 Sn 2.68-2.79, 1 Ga 2.79
Ga 0.1692 0.1050 0.7408  1 Ag 2.60, 2 Sn 2.68-2.79, 1 Ga 2.79
Ga 0.6050 0.7408 0.6692  1 Ag 2.60, 2 Sn 2.68-2.79, 1 Ga 2.79
Ga 0.2408 0.5716 0.6358  1 Ag 2.60, 2 Sn 2.68-2.79, 1 Ga 2.79
Ga 0.8308 0.9357 0.0716  1 Ag 2.60, 2 Sn 2.68-2.79, 1 Ga 2.79
Ag 0.8750 0.1250 0.2500  4 Ga 2.60
Ag 0.1250 0.2500 0.8750  4 Ga 2.60
Ag 0.7500 0.8750 0.6250  4 Ga 2.60
Ag 0.7500 0.3750 0.1250  4 Ga 2.60
Ag 0.2500 0.6250 0.8750  4 Ga 2.60
Ag 0.3750 0.7500 0.6250  4 Ga 2.60
Ag 0.2500 0.1250 0.3750  4 Ga 2.60
Ag 0.6250 0.2500 0.3750  4 Ga 2.60
Ag 0.6250 0.3750 0.7500  4 Ga 2.60
Ag 0.8750 0.7500 0.1250  4 Ga 2.60
Ag 0.3750 0.6250 0.2500  4 Ga 2.60
Ag 0.1250 0.8750 0.7500  4 Ga 2.60
Sn 0.7500 0.6250 0.3750  4 Ga 2.68
Sn 0.3750 0.2500 0.1250  4 Ga 2.68
Sn 0.7500 0.1250 0.8750  4 Ga 2.68
Sn 0.1250 0.7500 0.3750  4 Ga 2.68
Sn 0.5000 0.5000 0.0000  6 Ga 2.79
Sn 0.5000 0.0000 0.5000  6 Ga 2.79
Sn 0.3750 0.1250 0.7500  4 Ga 2.68
Sn 0.2500 0.8750 0.1250  4 Ga 2.68
Sn 0.1250 0.3750 0.2500  4 Ga 2.68
Sn 0.2500 0.3750 0.6250  4 Ga 2.68
Sn 0.6250 0.8750 0.2500  4 Ga 2.68
Sn 0.5000 0.0000 0.0000  6 Ga 2.79
Sn 0.0000 0.5000 0.5000  6 Ga 2.79
Sn 0.0000 0.5000 0.0000  6 Ga 2.79
Sn 0.8750 0.6250 0.7500  4 Ga 2.68
Sn 0.0000 0.0000 0.5000  6 Ga 2.79
Sn 0.0000 0.0000 0.0000  6 Ga 2.79
Sn 0.8750 0.2500 0.6250  4 Ga 2.68
Sn 0.5000 0.5000 0.5000  6 Ga 2.79
Sn 0.6250 0.7500 0.8750  4 Ga 2.68

Density functional theory data (PBE-GGA) for GaAg5Sn after structural relaxation.

* density: 9.1 g cm⁻³
* volume: 18.91 Å³ per atom
* E_form: 0.004 eV/atom
* space group: C2/c
* relative energy among the computed polymorphs: 0 meV/atom
* crystal system: monoclinic
* total moment: 0.00 Bohr magnetons per cell
* Fermi-level density of states: 0.307 states/eV per atom

abc: 5.3980 7.9117 7.4190
angles: 122.22 97.64 90.00
Closest atoms and distances in Å follow each position.
Element x y z (fractional)
Ag 0.2500 0.3944 0.5000  3 Ga 2.80-2.93, 6 Ag 2.88-3.02
Ag 0.4940 0.7833 0.8701  1 Ga 2.75, 2 Sn 2.87-2.98, 5 Ag 2.88-3.06
Ag 0.8545 0.8389 0.2982  2 Ga 2.76-2.87, 7 Ag 2.86-3.06, 1 Sn 2.88
Ag 0.6455 0.0406 0.7018  2 Ga 2.76-2.87, 7 Ag 2.86-3.06, 1 Sn 2.88
Ag 0.3545 0.9594 0.2982  2 Ga 2.76-2.87, 7 Ag 2.86-3.06, 1 Sn 2.88
Ag 0.7500 0.6056 0.5000  3 Ga 2.80-2.93, 6 Ag 2.88-3.02
Ag 0.0060 0.4132 0.1299  1 Ga 2.75, 2 Sn 2.87-2.98, 5 Ag 2.88-3.06
Ag 0.5060 0.2167 0.1299  1 Ga 2.75, 2 Sn 2.87-2.98, 5 Ag 2.88-3.06
Ag 0.1455 0.1611 0.7018  2 Ga 2.76-2.87, 7 Ag 2.86-3.06, 1 Sn 2.88
Ag 0.9940 0.5868 0.8701  1 Ga 2.75, 2 Sn 2.87-2.98, 5 Ag 2.88-3.06
Sn 0.0000 0.0000 0.0000  8 Ag 2.87-3.15
Sn 0.5000 0.5000 0.0000  8 Ag 2.87-3.15
Ga 0.2500 0.7485 0.5000  9 Ag 2.75-2.93
Ga 0.7500 0.2515 0.5000  9 Ag 2.75-2.93

Density functional theory data (PBE-GGA) for Ga6Ag8Sn after structural relaxation.

* density: 8.0 g cm⁻³
* volume: 19.33 Å³ per atom
* E_form: 0.045 eV/atom
* space group: R-3
* crystal system: trigonal
* total moment: 0.00 Bohr magnetons per cell
* Fermi-level density of states: 0.319 states/eV per atom

abc: 6.8882 6.8882 6.8882
angles: 72.69 72.69 72.69
Closest atoms and distances in Å follow each position.
Element x y z (fractional)
Ga 0.5755 0.1640 0.3696  5 Ag 2.67-2.88, 3 Ga 2.70-2.91
Ga 0.3696 0.5755 0.1640  5 Ag 2.67-2.88, 3 Ga 2.70-2.91
Ga 0.4245 0.8360 0.6304  5 Ag 2.67-2.88, 3 Ga 2.70-2.91
Ga 0.8360 0.6304 0.4245  5 Ag 2.67-2.88, 3 Ga 2.70-2.91
Ga 0.6304 0.4245 0.8360  5 Ag 2.67-2.88, 3 Ga 2.70-2.91
Ga 0.1640 0.3696 0.5755  5 Ag 2.67-2.88, 3 Ga 2.70-2.91
Ag 0.7858 0.7858 0.7858  6 Ag 2.87, 3 Ga 2.88
Ag 0.1391 0.8091 0.4369  4 Ga 2.67-2.86, 5 Ag 2.87-2.97
Ag 0.1909 0.5631 0.8609  4 Ga 2.67-2.86, 5 Ag 2.87-2.97
Ag 0.4369 0.1391 0.8091  4 Ga 2.67-2.86, 5 Ag 2.87-2.97
Ag 0.8091 0.4369 0.1391  4 Ga 2.67-2.86, 5 Ag 2.87-2.97
Ag 0.2142 0.2142 0.2142  6 Ag 2.87, 3 Ga 2.88
Ag 0.8609 0.1909 0.5631  4 Ga 2.67-2.86, 5 Ag 2.87-2.97
Ag 0.5631 0.8609 0.1909  4 Ga 2.67-2.86, 5 Ag 2.87-2.97
Sn 0.0000 0.0000 0.0000  8 Ag 3.21-3.23, 6 Ga 3.41

Density functional theory data (PBE-GGA) for GaAg2Sn after structural relaxation.

* density: 8.1 g cm⁻³
* volume: 20.72 Å³ per atom
* E_form: 0.027 eV/atom
* space group: P2_1/m
* relative energy among the computed polymorphs: 0 meV/atom
* crystal system: monoclinic
* total moment: 0.00 Bohr magnetons per cell
* Fermi-level density of states: 0.305 states/eV per atom

abc: 4.6252 5.7230 6.6525
angles: 90.00 109.71 90.00
Closest atoms and distances in Å follow each position.
Element x y z (fractional)
Sn 0.6791 0.7500 0.1011  6 Ag 2.93-2.98
Sn 0.3209 0.2500 0.8989  6 Ag 2.93-2.98
Ag 0.7301 0.5016 0.7213  3 Ga 2.74-2.89, 3 Ag 2.84-3.00, 3 Sn 2.93-2.98
Ag 0.2699 0.0016 0.2787  3 Ga 2.74-2.89, 3 Ag 2.84-3.00, 3 Sn 2.93-2.98
Ag 0.7301 0.9984 0.7213  3 Ga 2.74-2.89, 3 Ag 2.84-3.00, 3 Sn 2.93-2.98
Ag 0.2699 0.4984 0.2787  3 Ga 2.74-2.89, 3 Ag 2.84-3.00, 3 Sn 2.93-2.98
Ga 0.8461 0.2500 0.3952  6 Ag 2.74-2.89
Ga 0.1539 0.7500 0.6048  6 Ag 2.74-2.89